(1)
# LiAcPmAg

A relaxed LiAcPmAg crystal (PBE, the Alexandria database).

## Properties
* final energy: -3.45 eV/atom
* D(E_F): 4.8 states/eV per cell
* space-group type: F-43m (216)

Lattice parameters (Å, degrees): 5.485 5.485 5.485 60.00 60.00 60.00
Sites, in units of the cell vectors:
Ac (0.000, 0.000, 0.000)
Pm (0.500, 0.500, 0.500)
Li (0.750, 0.750, 0.750)
Ag (0.250, 0.250, 0.250)

(2)
# Pm4Er5Tm

A relaxed Pm4Er5Tm crystal (PBE, the Alexandria database).

## Properties
* polymorph energy (0 for the lowest one): 0 meV/atom
* final energy: -4.61 eV/atom
* D(E_F): 12.4 states/eV per cell
* space-group type: C2/m (12)

Lattice parameters (Å, degrees): 3.565 10.074 9.402 105.87 100.94 89.99
Sites, in units of the cell vectors:
Er (0.100, 0.799, 0.199)
Pm (0.099, 0.301, 0.198)
Pm (0.700, 0.100, 0.400)
Pm (0.300, 0.900, 0.600)
Er (0.900, 0.201, 0.801)
Er (0.699, 0.600, 0.399)
Er (0.301, 0.400, 0.601)
Er (0.500, 0.500, 0.000)
Pm (0.901, 0.699, 0.802)
Tm (0.500, 0.000, 0.000)

(3)
# Tb3NiAg

A relaxed Tb3NiAg crystal (PBE, the Alexandria database).

## Properties
* polymorph energy (0 for the lowest one): 0 meV/atom
* final energy: -4.76 eV/atom
* D(E_F): 10.9 states/eV per cell
* space-group type: C2/m (12)

Lattice parameters (Å, degrees): 6.015 6.015 8.517 67.43 67.43 65.50
Sites, in units of the cell vectors:
Tb (0.291, 0.291, 0.316)
Ag (0.284, 0.716, 0.500)
Ni (0.306, 0.694, 0.000)
Tb (0.319, 0.319, 0.874)
Tb (0.968, 0.968, 0.226)
Ag (0.716, 0.284, 0.500)
Tb (0.681, 0.681, 0.126)
Tb (0.032, 0.032, 0.774)
Ni (0.694, 0.306, 0.000)
Tb (0.709, 0.709, 0.684)

(4)
# NaLa2DyTe4

A relaxed NaLa2DyTe4 crystal (PBE, the Alexandria database).

## Properties
* final energy: -4.97 eV/atom
* energy relative to the elements, uncorrected: -1.428 eV per atom
* D(E_F): 3.5 states/eV per cell
* space-group type: P2/m (10)

Lattice parameters (Å, degrees): 4.502 7.868 7.771 109.31 90.00 90.00
Sites, in units of the cell vectors:
Na (0.000, 0.000, 0.000)
Dy (0.500, 0.500, 0.000)
La (0.500, 0.000, 0.500)
Te (0.500, 0.749, 0.761)
La (0.000, 0.500, 0.500)
Te (0.000, 0.743, 0.235)
Te (0.500, 0.251, 0.239)
Te (0.000, 0.257, 0.765)

(5)
# KRb2Pd

A relaxed KRb2Pd crystal (PBE, the Alexandria database).

## Properties
* final energy: -1.84 eV/atom
* D(E_F): 5.7 states/eV per cell
* space-group type: Fm-3m (225)

Lattice parameters (Å, degrees): 6.243 6.243 6.243 60.00 60.00 60.00
Sites, in units of the cell vectors:
K (0.000, 0.000, 0.000)
Pd (0.500, 0.500, 0.500)
Rb (0.250, 0.250, 0.250)
Rb (0.750, 0.750, 0.750)

(6)
# AcPrH6Ir2

A relaxed AcPrH6Ir2 crystal (PBE, the Alexandria database).

## Properties
* final energy: -5.20 eV/atom
* D(E_F): 3.0 states/eV per cell
* space-group type: C2/c (15)

Lattice parameters (Å, degrees): 6.342 6.342 6.798 103.00 103.00 102.87
Sites, in units of the cell vectors:
Ac (0.144, 0.856, 0.250)
H (0.458, 0.701, 0.125)
H (0.924, 0.427, 0.115)
H (0.225, 0.159, 0.008)
H (0.159, 0.225, 0.508)
Pr (0.591, 0.409, 0.250)
H (0.542, 0.299, 0.875)
Ac (0.856, 0.144, 0.750)
H (0.775, 0.841, 0.992)
H (0.076, 0.573, 0.885)
H (0.841, 0.775, 0.492)
H (0.299, 0.542, 0.375)
Ir (0.948, 0.669, 0.688)
H (0.427, 0.924, 0.615)
H (0.701, 0.458, 0.625)
Ir (0.669, 0.948, 0.188)
Ir (0.052, 0.331, 0.312)
H (0.573, 0.076, 0.385)
Pr (0.409, 0.591, 0.750)
Ir (0.331, 0.052, 0.812)

(7)
# PmBe2SiPt4

A relaxed PmBe2SiPt4 crystal (PBE, the Alexandria database).

## Properties
* final energy: -6.00 eV/atom
* energy relative to the elements, uncorrected: -0.777 eV per atom
* D(E_F): 3.7 states/eV per cell
* space-group type: R-3m (166)

Lattice parameters (Å, degrees): 4.066 4.066 9.201 77.23 77.23 60.00
Sites, in units of the cell vectors:
Pm (0.000, 0.000, 0.000)
Si (0.500, 0.500, 0.500)
Pt (0.407, 0.407, 0.778)
Pt (0.865, 0.865, 0.406)
Pt (0.135, 0.135, 0.594)
Be (0.751, 0.751, 0.746)
Be (0.249, 0.249, 0.254)
Pt (0.593, 0.593, 0.222)

(8)
# HoTmNiRh

A relaxed HoTmNiRh crystal (PBE, the Alexandria database).

## Properties
* polymorph energy (0 for the lowest one): 8 meV/atom
* final energy: -6.22 eV/atom
* D(E_F): 1.6 states/eV per cell
* space-group type: F-43m (216)

Lattice parameters (Å, degrees): 4.777 4.777 4.777 60.00 60.00 60.00
Sites, in units of the cell vectors:
Rh (0.250, 0.250, 0.250)
Tm (0.000, 0.000, 0.000)
Ho (0.500, 0.500, 0.500)
Ni (0.750, 0.750, 0.750)

(9)
# PIrAuC2

A relaxed PIrAuC2 crystal (PBE, the Alexandria database).

## Properties
* final energy: -5.85 eV/atom
* D(E_F): 2.4 states/eV per cell
* space-group type: P4/mmm (123)

Lattice parameters (Å, degrees): 3.825 5.560 3.825 90.00 90.00 90.00
Sites, in units of the cell vectors:
C (0.500, 0.000, 0.000)
C (0.000, 0.000, 0.500)
P (0.000, 0.500, 0.000)
Au (0.500, 0.500, 0.500)
Ir (0.000, 0.000, 0.000)

(10)
# TaSi2

A relaxed TaSi2 crystal (PBE, the Alexandria database).

## Properties
* final energy: -7.71 eV/atom
* energy relative to the elements, uncorrected: -0.143 eV per atom
* D(E_F): 5.5 states/eV per cell
* space-group type: Fddd (70)

Lattice parameters (Å, degrees): 14.794 14.794 14.795 166.26 166.26 19.45
Sites, in units of the cell vectors:
Si (0.597, 0.597, 0.000)
Ta (0.326, 0.826, 0.500)
Si (0.749, 0.749, 0.000)
Si (0.501, 0.001, 0.500)
Ta (0.076, 0.076, 0.000)
Si (0.653, 0.153, 0.500)
Si (0.847, 0.347, 0.500)
Si (0.999, 0.499, 0.500)
Si (0.403, 0.403, 0.000)
Si (0.251, 0.251, 0.000)
Ta (0.924, 0.924, 0.000)
Ta (0.174, 0.674, 0.500)

(11)
# Ba2CdSn2

A relaxed Ba2CdSn2 crystal (PBE, the Alexandria database).

## Properties
* polymorph energy (0 for the lowest one): 0 meV/atom
* final energy: -3.16 eV/atom
* D(E_F): 1.0 states/eV per cell
* space-group type: C2/m (12)

Lattice parameters (Å, degrees): 5.312 6.710 11.213 85.04 76.30 66.69
Sites, in units of the cell vectors:
Sn (0.629, 0.854, 0.887)
Cd (0.371, 0.907, 0.351)
Ba (0.683, 0.302, 0.332)
Ba (0.920, 0.264, 0.895)
Sn (0.371, 0.146, 0.113)
Ba (0.317, 0.698, 0.668)
Cd (0.629, 0.093, 0.649)
Sn (0.914, 0.725, 0.446)
Sn (0.086, 0.275, 0.554)
Ba (0.080, 0.736, 0.105)

(12)
# K2Cr2GaTe6

A relaxed K2Cr2GaTe6 crystal (PBE, the Alexandria database).

## Properties
* final energy: -4.38 eV/atom
* energy relative to the elements, uncorrected: -0.445 eV per atom
* D(E_F): 5.1 states/eV per cell
* space-group type: C2/m (12)

Lattice parameters (Å, degrees): 6.939 6.939 8.830 97.24 97.24 120.57
Sites, in units of the cell vectors:
Te (0.287, 0.287, 0.320)
Ga (0.000, 0.000, 0.500)
Cr (0.668, 0.332, 0.500)
Te (0.593, 0.939, 0.317)
Te (0.713, 0.713, 0.680)
K (0.162, 0.838, 0.000)
K (0.838, 0.162, 0.000)
Te (0.407, 0.061, 0.683)
Te (0.061, 0.407, 0.683)
Cr (0.332, 0.668, 0.500)
Te (0.939, 0.593, 0.317)

(13)
# TiAs2

A relaxed TiAs2 crystal (PBE, the Alexandria database).

## Properties
* final energy: -6.27 eV/atom
* D(E_F): 3.0 states/eV per cell
* space-group type: P-1 (2)

Lattice parameters (Å, degrees): 3.456 5.112 6.497 106.26 100.68 95.50
Sites, in units of the cell vectors:
Ti (0.101, 0.104, 0.759)
As (0.220, 0.658, 0.917)
As (0.528, 0.256, 0.495)
As (0.472, 0.744, 0.505)
As (0.780, 0.342, 0.083)
Ti (0.899, 0.896, 0.241)

(14)
# SrTmHg

A relaxed SrTmHg crystal (PBE, the Alexandria database).

## Properties
* polymorph energy (0 for the lowest one): 114 meV/atom
* final energy: -2.30 eV/atom
* D(E_F): 2.6 states/eV per cell
* space-group type: P-6m2 (187)

Lattice parameters (Å, degrees): 4.221 5.217 5.217 120.00 90.00 90.00
Sites, in units of the cell vectors:
Hg (0.166, 0.333, 0.667)
Sr (0.667, 0.667, 0.333)
Tm (0.167, 0.000, 0.000)

(15)
# MnBeW2N

A relaxed MnBeW2N crystal (PBE, the Alexandria database).

## Properties
* final energy: -7.36 eV/atom
* energy relative to the elements, uncorrected: 2.066 eV per atom
* D(E_F): 4.2 states/eV per cell
* space-group type: P4/mmm (123)

Lattice parameters (Å, degrees): 4.434 3.742 4.434 90.00 90.00 90.00
Sites, in units of the cell vectors:
W (0.000, 0.000, 0.500)
Be (0.000, 0.500, 0.000)
N (0.500, 0.500, 0.500)
Mn (0.000, 0.000, 0.000)
W (0.500, 0.000, 0.000)

(16)
# NiOsPd3

A relaxed NiOsPd3 crystal (PBE, the Alexandria database).

## Properties
* polymorph energy (0 for the lowest one): 0 meV/atom
* final energy: -5.06 eV/atom
* D(E_F): 8.9 states/eV per cell
* space-group type: Pm-3m (221)

Lattice parameters (Å, degrees): 4.477 4.477 4.477 90.00 90.00 90.00
Sites, in units of the cell vectors:
Pd (0.000, 0.500, 0.000)
Os (0.500, 0.500, 0.500)
Ni (0.000, 0.000, 0.000)
Pd (0.000, 0.000, 0.500)
Pd (0.500, 0.000, 0.000)

(17)
# ZnTcRu

A relaxed ZnTcRu crystal (PBE, the Alexandria database).

## Properties
* polymorph energy (0 for the lowest one): 254 meV/atom
* final energy: -6.76 eV/atom
* D(E_F): 2.8 states/eV per cell
* space-group type: Fmm2 (42)

Lattice parameters (Å, degrees): 7.085 6.854 2.695 83.72 74.07 22.21
Sites, in units of the cell vectors:
Tc (0.337, 0.337, 0.663)
Ru (0.997, 0.997, 0.003)
Zn (0.665, 0.665, 0.335)

(18)
# Zr2Ge2W

A relaxed Zr2Ge2W crystal (PBE, the Alexandria database).

## Properties
* polymorph energy (0 for the lowest one): 836 meV/atom
* final energy: -7.61 eV/atom
* D(E_F): 6.5 states/eV per cell
* space-group type: P4/mbm (127)

Lattice parameters (Å, degrees): 7.580 7.580 3.364 90.00 90.00 90.00
Sites, in units of the cell vectors:
Zr (0.860, 0.640, 0.000)
Ge (0.665, 0.835, 0.500)
Ge (0.335, 0.165, 0.500)
Zr (0.640, 0.140, 0.000)
W (0.500, 0.500, 0.000)
Ge (0.165, 0.665, 0.500)
Zr (0.140, 0.360, 0.000)
W (0.000, 0.000, 0.000)
Ge (0.835, 0.335, 0.500)
Zr (0.360, 0.860, 0.000)

(19)
# ZnAs2Ir2

A relaxed ZnAs2Ir2 crystal (PBE, the Alexandria database).

## Properties
* final energy: -5.46 eV/atom
* D(E_F): 4.5 states/eV per cell
* space-group type: I4/mmm (139)

Lattice parameters (Å, degrees): 3.948 3.948 6.387 72.00 72.00 90.00
Sites, in units of the cell vectors:
Ir (0.614, 0.614, 0.772)
Ir (0.386, 0.386, 0.228)
As (0.250, 0.750, 0.500)
As (0.750, 0.250, 0.500)
Zn (0.000, 0.000, 0.000)

(20)
# ErZnPt

A relaxed ErZnPt crystal (PBE, the Alexandria database).

## Properties
* final energy: -4.96 eV/atom
* D(E_F): 7.0 states/eV per cell
* space-group type: Pnma (62)

Lattice parameters (Å, degrees): 4.049 6.968 8.230 90.00 90.00 90.00
Sites, in units of the cell vectors:
Er (0.750, 0.953, 0.686)
Er (0.750, 0.453, 0.814)
Zn (0.750, 0.367, 0.436)
Zn (0.250, 0.633, 0.564)
Zn (0.250, 0.133, 0.936)
Zn (0.750, 0.867, 0.064)
Pt (0.250, 0.246, 0.623)
Er (0.250, 0.047, 0.314)
Pt (0.750, 0.754, 0.377)
Pt (0.250, 0.746, 0.877)
Pt (0.750, 0.254, 0.123)
Er (0.250, 0.547, 0.186)